[1]
## TbPr4Er3S8 (PBE-GGA)

Data for a geometry-optimized TbPr4Er3S8 structure.

Formation energy without anion corrections in eV per atom: -2.00

Cell: 7.8891 7.8891 20.0838 Å, 90.00 90.00 120.00°
Space group R-3m (No. 166, hexagonal axes)
One atom of each set of equivalent atoms:
1 Tb 0.0000 0.0000 0.0000 x3
2 Pr 0.0000 0.0000 0.5000 x3
3 Pr 0.0000 0.5000 0.5000 x9
4 Er 0.0000 0.5000 0.0000 x9
5 S 0.0000 0.0000 0.2580 x6
6 S 0.0030 0.5015 0.2574 x18

=====

[2]
## LiMn2W (PBE-GGA)

Data for a geometry-optimized LiMn2W structure.

Energy of formation in eV per atom: 0.344

Cell: 2.591 4.130 4.924 Å, 90.00 100.77 90.00°
Space group Pm (No. 6)
One atom of each set of equivalent atoms:
1 Li 0.000 0.000 0.000 x1
2 Mn 0.562 0.000 0.478 x1
3 Mn 0.804 0.500 0.239 x1
4 W 0.284 0.500 0.738 x1

=====

[3]
## GdTi6 (PBE-GGA)

Data for a geometry-optimized GdTi6 structure.

Energy of formation in eV per atom: 1.378

Cell: 6.935 6.935 6.935 Å, 90.00 90.00 90.00°
Space group Im-3m (No. 229)
One atom of each set of equivalent atoms:
1 Gd 0.000 0.000 0.000 x2
2 Ti 0.000 0.250 0.500 x12